Record 1
# HfTc | the Alexandria database | GGA-PBE | optimized geometry
# VASP energy = -41.366 eV for the cell shown
# magnetization = 0.00 μB/cell
# formation energy from the elements = -0.364 eV per formula unit
data_HfTc
_chemical_formula_sum 'Hf2 Tc2'
_symmetry_space_group_name_H-M 'C m m m'
_symmetry_Int_Tables_number 65
_symmetry_space_group_name_Hall '-C 2 2'
_cell_length_a 3.3014
_cell_length_b 4.9703
_cell_length_c 4.2825
_cell_angle_alpha 90.00
_cell_angle_beta 90.00
_cell_angle_gamma 90.00
loop_
_atom_site_label
_atom_site_type_symbol
_atom_site_fract_x
_atom_site_fract_y
_atom_site_fract_z
Hf1 Hf 0.0000 0.0000 0.0000
Tc1 Tc 0.0000 0.5000 0.5000

---

Record 2
# NiP2RhS | the Alexandria database | GGA-PBE | optimized geometry
# energy relative to the lowest polymorph listed for this composition = 0.136 eV per atom
# VASP energy = -58.380 eV for the cell shown
# magnetization = 0.00 μB/cell
# E_form (uncorrected) = -0.222 eV per atom
data_NiP2RhS
_chemical_formula_sum 'Ni2 P4 Rh2 S2'
_symmetry_space_group_name_H-M 'C 1 m 1'
_symmetry_Int_Tables_number 8
_symmetry_space_group_name_Hall 'C -2y'
_cell_length_a 6.1185
_cell_length_b 3.0846
_cell_length_c 7.8075
_cell_angle_alpha 90.00
_cell_angle_beta 99.08
_cell_angle_gamma 90.00
loop_
_atom_site_label
_atom_site_type_symbol
_atom_site_fract_x
_atom_site_fract_y
_atom_site_fract_z
Ni1 Ni 0.0000 0.0000 0.0000
P1 P 0.3257 0.5000 0.3952
P2 P 0.3361 0.0000 0.1614
Rh1 Rh 0.1648 0.0000 0.5660
S1 S 0.1636 0.5000 0.8329

---

Record 3
# LiTaReO6 | the Alexandria database | GGA-PBE | optimized geometry
# VASP energy = -149.901 eV for the cell shown
# magnetization = 0.84 μB/cell
# E_form (uncorrected) = -2.110 eV per atom
data_LiTaReO6
_chemical_formula_sum 'Li2 Ta2 Re2 O12'
_symmetry_space_group_name_H-M 'P 42 n m'
_symmetry_Int_Tables_number 102
_symmetry_space_group_name_Hall 'P 4n -2n'
_cell_length_a 4.8143
_cell_length_b 4.8143
_cell_length_c 9.0494
_cell_angle_alpha 90.00
_cell_angle_beta 90.00
_cell_angle_gamma 90.00
loop_
_atom_site_label
_atom_site_type_symbol
_atom_site_fract_x
_atom_site_fract_y
_atom_site_fract_z
Li1 Li 0.0000 0.0000 0.0000
Ta1 Ta 0.0000 0.0000 0.6714
Re1 Re 0.0000 0.0000 0.3284
O1 O 0.1815 0.1815 0.4933
O2 O 0.2058 0.2058 0.1884
O3 O 0.2147 0.2147 0.8157

---

Record 4
# SiRu2Cl | the Alexandria database | GGA-PBE | optimized geometry
# energy relative to the lowest polymorph listed for this composition = 0.824 eV per atom
# VASP energy = -91.088 eV for the cell shown
# magnetization = 0.00 μB/cell
# E_form (uncorrected) = 0.762 eV per atom
data_SiRu2Cl
_chemical_formula_sum 'Si4 Ru8 Cl4'
_symmetry_space_group_name_H-M 'F -4 3 m'
_symmetry_Int_Tables_number 216
_symmetry_space_group_name_Hall 'F -4 2 3'
_cell_length_a 6.2019
_cell_length_b 6.2019
_cell_length_c 6.2019
_cell_angle_alpha 90.00
_cell_angle_beta 90.00
_cell_angle_gamma 90.00
loop_
_atom_site_label
_atom_site_type_symbol
_atom_site_fract_x
_atom_site_fract_y
_atom_site_fract_z
Si1 Si 0.0000 0.0000 0.0000
Ru1 Ru 0.0000 0.0000 0.5000
Ru2 Ru 0.2500 0.2500 0.2500
Cl1 Cl 0.2500 0.2500 0.7500

---

Record 5
# K2Mg4InPb3 | the Alexandria database | GGA-PBE | optimized geometry
# VASP energy = -23.461 eV for the cell shown
# magnetization = 0.00 μB/cell
# formation energy from the elements = -1.024 eV per formula unit
data_K2Mg4InPb3
_chemical_formula_sum 'K2 Mg4 In1 Pb3'
_symmetry_space_group_name_H-M 'P -4 m 2'
_symmetry_Int_Tables_number 115
_symmetry_space_group_name_Hall 'P -4 -2'
_cell_length_a 4.8561
_cell_length_b 4.8561
_cell_length_c 13.1550
_cell_angle_alpha 90.00
_cell_angle_beta 90.00
_cell_angle_gamma 90.00
loop_
_atom_site_label
_atom_site_type_symbol
_atom_site_fract_x
_atom_site_fract_y
_atom_site_fract_z
K1 K 0.0000 0.5000 0.2451
Mg1 Mg 0.0000 0.0000 0.0000
Mg2 Mg 0.0000 0.5000 0.6431
Mg3 Mg 0.5000 0.5000 0.0000
In1 In 0.0000 0.0000 0.5000
Pb1 Pb 0.0000 0.5000 0.8647
Pb2 Pb 0.5000 0.5000 0.5000

---

Record 6
# CaAc6Cd2 | the Alexandria database | GGA-PBE | optimized geometry
# VASP energy = -59.119 eV for the cell shown
# magnetization = 0.00 μB/cell
# formation energy from the elements = -1.077 eV per formula unit
data_CaAc6Cd2
_chemical_formula_sum 'Ca2 Ac12 Cd4'
_symmetry_space_group_name_H-M 'C 1 2/m 1'
_symmetry_Int_Tables_number 12
_symmetry_space_group_name_Hall '-C 2y'
_cell_length_a 14.0193
_cell_length_b 4.0462
_cell_length_c 13.2474
_cell_angle_alpha 90.00
_cell_angle_beta 108.94
_cell_angle_gamma 90.00
loop_
_atom_site_label
_atom_site_type_symbol
_atom_site_fract_x
_atom_site_fract_y
_atom_site_fract_z
Ca1 Ca 0.0000 0.0000 0.0000
Ac1 Ac 0.0230 0.0000 0.3352
Ac2 Ac 0.1903 0.5000 0.5915
Ac3 Ac 0.1895 0.5000 0.8752
Cd1 Cd 0.1393 0.5000 0.1946